## Nd4NiAu3 (PBE-GGA)

Data for a relaxed structure of Nd4NiAu3.

```
data_Nd4NiAu3
_cell_length_a 3.957
_cell_length_b 4.701
_cell_length_c 11.018
_cell_angle_alpha 90.00
_cell_angle_beta 90.00
_cell_angle_gamma 90.00
_space_group_name_H-M_alt 'P m m 2'
_space_group_IT_number 25
loop_
_space_group_symop_operation_xyz
'x,y,z'
'-x,-y,z'
'-x,y,z'
'x,-y,z'
loop_
_atom_site_label
_atom_site_type_symbol
_atom_site_fract_x
_atom_site_fract_y
_atom_site_fract_z
Nd1 Nd 0.000 0.000 0.000
Nd2 Nd 0.000 0.500 0.262
Nd3 Nd 0.500 0.000 0.475
Nd4 Nd 0.500 0.500 0.766
Ni1 Ni 0.500 0.000 0.206
Au1 Au 0.000 0.000 0.713
Au2 Au 0.000 0.500 0.540
Au3 Au 0.500 0.500 0.049
```

Summary:
**DFT formation energy**: -0.6678 eV per atom
**E**: -5.003 eV per atom
**Magnetic moment**: 0.00 μB per formula unit

***

## BaYBi2 (PBE-GGA)

Data for a relaxed structure of BaYBi2.

```
data_BaYBi2
_cell_length_a 3.962
_cell_length_b 3.962
_cell_length_c 8.768
_cell_angle_alpha 90.00
_cell_angle_beta 90.00
_cell_angle_gamma 90.00
_space_group_name_H-M_alt 'P 4/m m m'
_space_group_IT_number 123
_space_group_name_Hall '-P 4 2'
loop_
_atom_site_label
_atom_site_type_symbol
_atom_site_fract_x
_atom_site_fract_y
_atom_site_fract_z
Ba1 Ba 0.000 0.000 0.000
Y1 Y 0.000 0.000 0.500
Bi1 Bi 0.500 0.500 0.283
```

Summary:
**DFT formation energy**: -0.7188 eV per atom
**E**: -4.756 eV per atom
**Magnetic moment**: 0.00 μB per formula unit